# Pm5Tm4Hg4, optimized geometry, DFT GGA-PBE
# DOS at the Fermi energy = 0.79 states/eV/atom
# energy of formation = -4.10 eV per formula unit
data_Pm5Tm4Hg4
_space_group_name_H-M_alt 'I 4/m'
_space_group_IT_number 87
_space_group_name_Hall '-I 4'
_cell_length_a 12.171
_cell_length_b 12.171
_cell_length_c 5.131
_cell_angle_alpha 90.00
_cell_angle_beta 90.00
_cell_angle_gamma 90.00
loop_
_atom_site_label
_atom_site_type_symbol
_atom_site_fract_x
_atom_site_fract_y
_atom_site_fract_z
Pm1 Pm 0.000 0.000 0.000
Pm2 Pm 0.120 0.814 0.500
Tm1 Tm 0.098 0.601 0.000
Hg1 Hg 0.090 0.244 0.000


# KTe2Se, optimized geometry, DFT GGA-PBE
# DOS at the Fermi energy = 0.62 states/eV/atom
# formation energy (no corrections) = 0.004 eV per atom
data_KTe2Se
_space_group_name_H-M_alt 'R -3 m'
_space_group_IT_number 166
_space_group_name_Hall '-R 3 2"'
_cell_length_a 3.8237
_cell_length_b 3.8237
_cell_length_c 32.1586
_cell_angle_alpha 90.00
_cell_angle_beta 90.00
_cell_angle_gamma 120.00
loop_
_atom_site_label
_atom_site_type_symbol
_atom_site_fract_x
_atom_site_fract_y
_atom_site_fract_z
K1 K 0.0000 0.0000 0.0000
Te1 Te 0.0000 0.0000 0.4177
Se1 Se 0.0000 0.0000 0.5000


# Pr2Nd6DyY3, optimized geometry, DFT GGA-PBE
# DOS at the Fermi energy = 1.34 states/eV/atom
# energy of formation = 0.14 eV per formula unit
data_Pr2Nd6DyY3
_space_group_name_H-M_alt 'C 1 2/m 1'
_space_group_IT_number 12
_space_group_name_Hall '-C 2y'
_cell_length_a 6.331
_cell_length_b 10.968
_cell_length_c 12.042
_cell_angle_alpha 90.00
_cell_angle_beta 100.08
_cell_angle_gamma 90.00
loop_
_atom_site_label
_atom_site_type_symbol
_atom_site_fract_x
_atom_site_fract_y
_atom_site_fract_z
Pr1 Pr 0.000 0.167 0.000
Nd1 Nd 0.248 0.500 0.747
Nd2 Nd 0.250 0.166 0.748
Dy1 Dy 0.000 0.500 0.000
Y1 Y 0.000 0.000 0.500
Y2 Y 0.000 0.334 0.500


# Sb5PO10, optimized geometry, DFT GGA-PBE
# DOS at the Fermi energy = 0.00 states/eV/atom
# formation energy (no corrections) = -1.535 eV per atom
data_Sb5PO10
_space_group_name_H-M_alt 'P 21 21 21'
_space_group_IT_number 19
_space_group_name_Hall 'P 2ac 2ab'
_cell_length_a 6.891
_cell_length_b 7.327
_cell_length_c 20.424
_cell_angle_alpha 90.00
_cell_angle_beta 90.00
_cell_angle_gamma 90.00
loop_
_atom_site_label
_atom_site_type_symbol
_atom_site_fract_x
_atom_site_fract_y
_atom_site_fract_z
Sb1 Sb 0.089 0.221 0.145
Sb2 Sb 0.094 0.510 0.804
Sb3 Sb 0.111 0.528 0.499
Sb4 Sb 0.122 0.710 0.190
Sb5 Sb 0.148 0.991 0.838
P1 P 0.097 0.096 0.529
O1 O 0.035 0.969 0.343
O2 O 0.067 0.615 0.281
O3 O 0.068 0.180 0.597
O4 O 0.075 0.472 0.993
O5 O 0.115 0.256 0.476
O6 O 0.126 0.621 0.409
O7 O 0.152 0.469 0.703
O8 O 0.154 0.105 0.747
O9 O 0.216 0.022 0.025
O10 O 0.229 0.750 0.800


# Y2RhCl, optimized geometry, DFT GGA-PBE
# DOS at the Fermi energy = 0.41 states/eV/atom
# energy above the most stable polymorph in this dataset = 322 meV per atom
# formation energy (no corrections) = -0.837 eV per atom
data_Y2RhCl
_space_group_name_H-M_alt 'I m m m'
_space_group_IT_number 71
_space_group_name_Hall '-I 2 2'
_cell_length_a 4.103
_cell_length_b 5.920
_cell_length_c 7.530
_cell_angle_alpha 90.00
_cell_angle_beta 90.00
_cell_angle_gamma 90.00
loop_
_atom_site_label
_atom_site_type_symbol
_atom_site_fract_x
_atom_site_fract_y
_atom_site_fract_z
Y1 Y 0.000 0.000 0.247
Rh1 Rh 0.000 0.500 0.500
Cl1 Cl 0.000 0.500 0.000


# Tb5Y2Ho3, optimized geometry, DFT GGA-PBE
# DOS at the Fermi energy = 2.02 states/eV/atom
# energy of formation = 2.03 eV per formula unit
data_Tb5Y2Ho3
_space_group_name_H-M_alt 'C 1 2/c 1'
_space_group_IT_number 15
_space_group_name_Hall '-C 2yc'
_cell_length_a 10.619
_cell_length_b 15.530
_cell_length_c 9.571
_cell_angle_alpha 90.00
_cell_angle_beta 123.60
_cell_angle_gamma 90.00
loop_
_atom_site_label
_atom_site_type_symbol
_atom_site_fract_x
_atom_site_fract_y
_atom_site_fract_z
Tb1 Tb 0.000 0.019 0.250
Tb2 Tb 0.000 0.277 0.750
Tb3 Tb 0.000 0.474 0.750
Tb4 Tb 0.232 0.372 0.213
Y1 Y 0.158 0.376 0.546
Ho1 Ho 0.000 0.227 0.250
Ho2 Ho 0.140 0.129 0.048


# Pa3SiN2O6, optimized geometry, DFT GGA-PBE
# DOS at the Fermi energy = 0.38 states/eV/atom
# formation energy (no corrections) = -2.511 eV per atom
data_Pa3SiN2O6
_space_group_name_H-M_alt 'C 1 2/m 1'
_space_group_IT_number 12
_space_group_name_Hall '-C 2y'
_cell_length_a 10.970
_cell_length_b 6.672
_cell_length_c 4.564
_cell_angle_alpha 90.00
_cell_angle_beta 90.52
_cell_angle_gamma 90.00
loop_
_atom_site_label
_atom_site_type_symbol
_atom_site_fract_x
_atom_site_fract_y
_atom_site_fract_z
Pa1 Pa 0.000 0.000 0.000
Pa2 Pa 0.250 0.250 0.500
Si1 Si 0.000 0.500 0.500
N1 N 0.170 0.000 0.765
O1 O 0.068 0.284 0.277
O2 O 0.139 0.500 0.694


# Rb3Ga2Sb2, optimized geometry, DFT GGA-PBE
# DOS at the Fermi energy = 0.34 states/eV/atom
# formation energy (no corrections) = -0.367 eV per atom
data_Rb3Ga2Sb2
_space_group_name_H-M_alt 'I m m m'
_space_group_IT_number 71
_space_group_name_Hall '-I 2 2'
_cell_length_a 4.440
_cell_length_b 5.829
_cell_length_c 20.943
_cell_angle_alpha 90.00
_cell_angle_beta 90.00
_cell_angle_gamma 90.00
loop_
_atom_site_label
_atom_site_type_symbol
_atom_site_fract_x
_atom_site_fract_y
_atom_site_fract_z
Rb1 Rb 0.000 0.000 0.000
Rb2 Rb 0.000 0.500 0.316
Ga1 Ga 0.000 0.000 0.442
Sb1 Sb 0.000 0.500 0.131


# MnAg2Pt, optimized geometry, DFT GGA-PBE
# DOS at the Fermi energy = 0.73 states/eV/atom
# energy above the most stable polymorph in this dataset = 70 meV per atom
# energy of formation = 0.10 eV per formula unit
data_MnAg2Pt
_space_group_name_H-M_alt 'R 3 m'
_space_group_IT_number 160
_space_group_name_Hall 'R 3 -2"'
_cell_length_a 2.8719
_cell_length_b 2.8719
_cell_length_c 27.6200
_cell_angle_alpha 90.00
_cell_angle_beta 90.00
_cell_angle_gamma 120.00
loop_
_atom_site_label
_atom_site_type_symbol
_atom_site_fract_x
_atom_site_fract_y
_atom_site_fract_z
Mn1 Mn 0.0000 0.0000 0.0000
Ag1 Ag 0.0000 0.0000 0.2511
Ag2 Ag 0.0000 0.0000 0.4960
Pt1 Pt 0.0000 0.0000 0.7418


# Y2Cu3Ge4, optimized geometry, DFT GGA-PBE
# DOS at the Fermi energy = 0.39 states/eV/atom
# energy of formation = -4.02 eV per formula unit
data_Y2Cu3Ge4
_space_group_name_H-M_alt 'C m c e'
_space_group_IT_number 64
_space_group_name_Hall '-C 2ac 2'
_cell_length_a 5.677
_cell_length_b 14.833
_cell_length_c 7.470
_cell_angle_alpha 90.00
_cell_angle_beta 90.00
_cell_angle_gamma 90.00
loop_
_atom_site_label
_atom_site_type_symbol
_atom_site_fract_x
_atom_site_fract_y
_atom_site_fract_z
Y1 Y 0.000 0.112 0.093
Cu1 Cu 0.000 0.000 0.500
Cu2 Cu 0.250 0.221 0.750
Ge1 Ge 0.000 0.182 0.472
Ge2 Ge 0.250 0.054 0.750


# CuPtF3, optimized geometry, DFT GGA-PBE
# DOS at the Fermi energy = 0.33 states/eV/atom
# energy above the most stable polymorph in this dataset = 9 meV per atom
# formation energy (no corrections) = -0.486 eV per atom
data_CuPtF3
_space_group_name_H-M_alt 'P m -3 m'
_space_group_IT_number 221
_space_group_name_Hall '-P 4 2 3'
_cell_length_a 4.266
_cell_length_b 4.266
_cell_length_c 4.266
_cell_angle_alpha 90.00
_cell_angle_beta 90.00
_cell_angle_gamma 90.00
loop_
_atom_site_label
_atom_site_type_symbol
_atom_site_fract_x
_atom_site_fract_y
_atom_site_fract_z
Cu1 Cu 0.000 0.000 0.000
Pt1 Pt 0.500 0.500 0.500
F1 F 0.000 0.500 0.500


# LaEr2Zr, optimized geometry, DFT GGA-PBE
# DOS at the Fermi energy = 2.03 states/eV/atom
# energy above the most stable polymorph in this dataset = 123 meV per atom
# energy of formation = 0.82 eV per formula unit
data_LaEr2Zr
_space_group_name_H-M_alt 'F m -3 m'
_space_group_IT_number 225
_space_group_name_Hall '-F 4 2 3'
_cell_length_a 7.804
_cell_length_b 7.804
_cell_length_c 7.804
_cell_angle_alpha 90.00
_cell_angle_beta 90.00
_cell_angle_gamma 90.00
loop_
_atom_site_label
_atom_site_type_symbol
_atom_site_fract_x
_atom_site_fract_y
_atom_site_fract_z
La1 La 0.000 0.000 0.000
Er1 Er 0.250 0.250 0.250
Zr1 Zr 0.000 0.000 0.500


Q: Look up the DOS at the Fermi energy of the eighth one.
A: 0.34 states/eV/atom


Q: Which of these has the lowest DOS at the Fermi energy?
A: Sb5PO10